Here is crystalline AsP3 at its relaxed geometry from the Alexandria database. Energies are from PBE-GGA.

Lattice parameters (Å, degrees): 7.9359 7.9359 4.5404 90.00 90.00 120.00
With the nearest neighbours (Å) after each atom.
Sites, in units of the cell vectors:
As1 0.0000 0.0000 0.4889  3 P 2.41
As2 0.3333 0.6667 0.1555  3 P 2.41
As3 0.6667 0.3333 0.8222  3 P 2.41
P1 0.8677 0.6375 0.0713  2 P 2.24, 1 As 2.41
P2 0.3625 0.2302 0.0713  2 P 2.24, 1 As 2.41
P3 0.7698 0.1323 0.0713  2 P 2.24, 1 As 2.41
P4 0.2010 0.3042 0.7380  2 P 2.24, 1 As 2.41
P5 0.6958 0.8968 0.7380  2 P 2.24, 1 As 2.41
P6 0.1032 0.7990 0.7380  2 P 2.24, 1 As 2.41
P7 0.5343 0.9708 0.4046  2 P 2.24, 1 As 2.41
P8 0.0292 0.5635 0.4046  2 P 2.24, 1 As 2.41
P9 0.4365 0.4657 0.4046  2 P 2.24, 1 As 2.41

Summary:
relative energy among the computed polymorphs	0.022	eV/atom
theoretical density	3.38	g cm⁻³
energy of formation from the pure elements	0.083	eV/atom